No. 1
A plane-wave DFT calculation with PBE was carried out for Pm7DyMg2 after structural relaxation.

Properties
The value obtained for the energy relative to the elements is 0.5300 eV/atom. Its symmetry is Cmmm (65).

a = 9.425 Å, b = 9.425 Å, c = 5.336 Å
α = 90.00°, β = 90.00°, γ = 124.09°
Element x y z (fractional)
Pm (0.000, 0.000, 0.000)
Pm (0.202, 0.430, 0.000)
Pm (0.288, 0.712, 0.500)
Pm (0.430, 0.202, 0.000)
Pm (0.570, 0.798, 0.000)
Pm (0.712, 0.288, 0.500)
Pm (0.798, 0.570, 0.000)
Dy (0.500, 0.500, 0.500)
Mg (0.202, 0.798, 0.000)
Mg (0.798, 0.202, 0.000)


No. 2
A plane-wave DFT calculation with PBE was carried out for DyHoMgNi after structural relaxation.

Properties
The value obtained for the energy relative to the elements is -0.2558 eV/atom. Its symmetry is P4mm (99).

a = 3.435 Å, b = 3.435 Å, c = 7.884 Å
α = 90.00°, β = 90.00°, γ = 90.00°
Element x y z (fractional)
Dy (0.000, 0.000, 0.000)
Ho (0.000, 0.000, 0.405)
Mg (0.500, 0.500, 0.702)
Ni (0.500, 0.500, 0.205)


No. 3
A plane-wave DFT calculation with PBE was carried out for Li2MnCl after structural relaxation.

Properties
Its symmetry is Fm-3m (225). The formation energy without anion corrections is 0.40 eV per formula unit.

a = 4.830 Å, b = 4.830 Å, c = 4.830 Å
α = 60.00°, β = 60.00°, γ = 60.00°
Element x y z (fractional)
Li (0.250, 0.250, 0.250)
Li (0.750, 0.750, 0.750)
Mn (0.000, 0.000, 0.000)
Cl (0.500, 0.500, 0.500)


No. 4
A plane-wave DFT calculation with PBE was carried out for LiMg2Al2 after structural relaxation.

Properties
The value obtained for the energy relative to the elements is 0.0077 eV/atom. Its symmetry is Immm (71).

a = 5.392 Å, b = 5.392 Å, c = 5.392 Å
α = 130.71°, β = 117.99°, γ = 83.02°
Element x y z (fractional)
Li (0.000, 0.000, 0.000)
Mg (0.311, 0.811, 0.500)
Mg (0.689, 0.189, 0.500)
Al (0.260, 0.500, 0.760)
Al (0.740, 0.500, 0.240)


What is the formula in the second record? DyHoMgNi